Entry from the Alexandria database: a relaxed structure of LiVCr2O6 (PBE+U).

Values from the calculation:
* uncorrected energy: -7.35 eV per atom
* crystal system: trigonal

Cell: 5.0377 5.0377 13.8614 Å, 90.00 90.00 120.00°
Space group R3 (No. 146, hexagonal axes)
Inequivalent atoms, fractional coordinates:
Li 0.0000 0.0000 0.0000 [3 per cell]
V 0.0000 0.0000 0.5225 [3 per cell]
Cr 0.0000 0.0000 0.2228 [3 per cell]
Cr 0.0000 0.0000 0.7208 [3 per cell]
O 0.0132 0.3339 0.1326 [9 per cell]
O 0.0508 0.6821 0.2895 [9 per cell]